No. 1
Entry from Alexandria: HfTa2Br after structural relaxation (PBE-GGA).

Calculated values
**Energy relative to the lowest polymorph listed for this composition**: 0.0000 eV/atom
**Symmetry**: I-42d (122)

a b c (Å): 10.791 10.791 10.791
angles (deg): 158.77 158.77 30.19
Element x y z (fractional)
Hf 0.000 0.000 0.000
Hf 0.750 0.250 0.500
Ta 0.120 0.625 0.995
Ta 0.375 0.370 0.495
Ta 0.630 0.125 0.005
Ta 0.875 0.880 0.505
Br 0.250 0.750 0.500
Br 0.500 0.500 0.000

***

No. 2
Entry from Alexandria: HfTa2TiBr after structural relaxation (PBE-GGA).

Calculated values
**Symmetry**: P4/mmm (123)
**Total DFT energy (no corrections)**: -7.26 eV/atom

a b c (Å): 4.728 4.728 5.217
angles (deg): 90.00 90.00 90.00
Element x y z (fractional)
Hf 0.000 0.000 0.000
Ta 0.000 0.500 0.500
Ta 0.500 0.000 0.500
Ti 0.000 0.000 0.500
Br 0.500 0.500 0.000

***

No. 3
Entry from Alexandria: TbHfBr after structural relaxation (PBE-GGA).

Calculated values
**Symmetry**: C2/m (12)
**Total DFT energy (no corrections)**: -6.02 eV/atom

a b c (Å): 3.522 3.522 15.911
angles (deg): 96.64 96.64 59.99
Element x y z (fractional)
Tb 0.086 0.086 0.247
Tb 0.914 0.914 0.753
Hf 0.307 0.307 0.924
Hf 0.693 0.693 0.076
Br 0.202 0.202 0.623
Br 0.798 0.798 0.377

***

No. 4
Entry from Alexandria: HfTc3Br after structural relaxation (PBE-GGA).

Calculated values
**Energy relative to the lowest polymorph listed for this composition**: 0.0000 eV/atom
**Symmetry**: Pm-3m (221)

a b c (Å): 4.529 4.529 4.529
angles (deg): 90.00 90.00 90.00
Element x y z (fractional)
Hf 0.000 0.000 0.000
Tc 0.000 0.500 0.500
Tc 0.500 0.000 0.500
Tc 0.500 0.500 0.000
Br 0.500 0.500 0.500

***

No. 5
Entry from Alexandria: Hf2Tc2Br after structural relaxation (PBE-GGA).

Calculated values
**Energy relative to the lowest polymorph listed for this composition**: 0.3532 eV/atom
**Symmetry**: I4/mmm (139)

a b c (Å): 5.441 5.441 5.441
angles (deg): 123.60 123.60 83.88
Element x y z (fractional)
Hf 0.250 0.750 0.500
Hf 0.750 0.250 0.500
Tc 0.145 0.145 0.000
Tc 0.855 0.855 0.000
Br 0.500 0.500 0.000

***

No. 6
Entry from Alexandria: Hf3TcBr after structural relaxation (PBE-GGA).

Calculated values
**Energy relative to the lowest polymorph listed for this composition**: 0.0000 eV/atom
**Symmetry**: Pm-3m (221)

a b c (Å): 5.057 5.057 5.057
angles (deg): 90.00 90.00 90.00
Element x y z (fractional)
Hf 0.000 0.000 0.500
Hf 0.000 0.500 0.000
Hf 0.500 0.000 0.000
Tc 0.000 0.000 0.000
Br 0.500 0.500 0.500

***

No. 7
Entry from Alexandria: Hf3TcBr after structural relaxation (PBE-GGA).

Calculated values
**Energy relative to the lowest polymorph listed for this composition**: 0.4456 eV/atom
**Symmetry**: Pm-3m (221)

a b c (Å): 4.822 4.822 4.822
angles (deg): 90.00 90.00 90.00
Element x y z (fractional)
Hf 0.000 0.000 0.500
Hf 0.000 0.500 0.000
Hf 0.500 0.000 0.000
Tc 0.500 0.500 0.500
Br 0.000 0.000 0.000

***

No. 8
Entry from Alexandria: Hf2Tc2Br after structural relaxation (PBE-GGA).

Calculated values
**Energy relative to the lowest polymorph listed for this composition**: 0.0000 eV/atom
**Symmetry**: P4/mbm (127)

a b c (Å): 7.635 7.635 3.318
angles (deg): 90.00 90.00 90.00
Element x y z (fractional)
Hf 0.149 0.351 0.000
Hf 0.351 0.851 0.000
Hf 0.649 0.149 0.000
Hf 0.851 0.649 0.000
Tc 0.137 0.637 0.500
Tc 0.363 0.137 0.500
Tc 0.637 0.863 0.500
Tc 0.863 0.363 0.500
Br 0.000 0.000 0.500
Br 0.500 0.500 0.500

***

- Number 6 is which compound?
  Hf3TcBr